VASP calculation (PBE) on a relaxed TaNi2H2 crystal.

```
data_TaNi2H2
_cell_length_a 5.1900
_cell_length_b 5.1900
_cell_length_c 3.5181
_cell_angle_alpha 90.00
_cell_angle_beta 90.00
_cell_angle_gamma 90.00
_symmetry_space_group_name_H-M 'P 4/m b m'
_symmetry_Int_Tables_number 127
_symmetry_space_group_name_Hall '-P 4 2ab'
loop_
_atom_site_label
_atom_site_fract_x
_atom_site_fract_y
_atom_site_fract_z
Ta1 0.0000 0.0000 0.0000
Ni1 0.1632 0.3368 0.5000
H1 0.1475 0.3525 0.0000
```

Computed properties:
N(E_F) in states/eV/cell: 4.10
Crystal system: tetragonal
VASP energy in eV per atom: -6.07

=====

VASP calculation (PBE) on a relaxed TaNi4H4 crystal.

```
data_TaNi4H4
_cell_length_a 8.0095
_cell_length_b 7.0223
_cell_length_c 5.1406
_cell_angle_alpha 90.00
_cell_angle_beta 90.00
_cell_angle_gamma 90.00
_symmetry_space_group_name_H-M 'C m c m'
_symmetry_Int_Tables_number 63
_symmetry_space_group_name_Hall '-C 2c 2'
loop_
_atom_site_label
_atom_site_fract_x
_atom_site_fract_y
_atom_site_fract_z
Ta1 0.0000 0.1557 0.2500
Ni1 0.1507 0.1945 0.7500
Ni2 0.1564 0.5000 0.0000
H1 0.0000 0.3352 0.5508
H2 0.2416 0.0908 0.2500
```

Computed properties:
N(E_F) in states/eV/cell: 16.31
Crystal system: orthorhombic
VASP energy in eV per atom: -5.39

=====

VASP calculation (PBE) on a relaxed Ta5Ni2H12 crystal.

```
data_Ta5Ni2H12
_cell_length_a 9.0731
_cell_length_b 5.2361
_cell_length_c 6.2416
_cell_angle_alpha 90.00
_cell_angle_beta 97.20
_cell_angle_gamma 90.00
_symmetry_space_group_name_H-M 'C 1 2/m 1'
_symmetry_Int_Tables_number 12
_symmetry_space_group_name_Hall '-C 2y'
loop_
_atom_site_label
_atom_site_fract_x
_atom_site_fract_y
_atom_site_fract_z
Ta1 0.0000 0.0000 0.0000
Ta2 0.1433 0.5000 0.8789
Ta3 0.2291 0.5000 0.3170
Ni1 0.0000 0.2314 0.5000
H1 0.0249 0.5000 0.3427
H2 0.0454 0.0000 0.3418
H3 0.1716 0.2236 0.1074
H4 0.1775 0.3171 0.5984
```

Computed properties:
N(E_F) in states/eV/cell: 11.55
Crystal system: monoclinic
VASP energy in eV per atom: -5.87

=====

VASP calculation (PBE) on a relaxed TaNiH crystal.

```
data_TaNiH
_cell_length_a 4.7522
_cell_length_b 2.7354
_cell_length_c 4.8151
_cell_angle_alpha 90.00
_cell_angle_beta 101.26
_cell_angle_gamma 90.00
_symmetry_space_group_name_H-M 'P 1 2/m 1'
_symmetry_Int_Tables_number 10
_symmetry_space_group_name_Hall '-P 2y'
loop_
_atom_site_label
_atom_site_fract_x
_atom_site_fract_y
_atom_site_fract_z
Ta1 0.2261 0.0000 0.2953
Ni1 0.2934 0.5000 0.7917
H1 0.0000 0.5000 0.0000
H2 0.5000 0.0000 0.0000
```

Computed properties:
N(E_F) in states/eV/cell: 3.82
Crystal system: monoclinic
VASP energy in eV per atom: -7.12